Version 1
{
  "formula": "BeCr2Pb",
  "functional": "PBE",
  "state": "optimized geometry",
  "lattice": [[0.0000, 3.1328, 3.1328], [3.1328, 0.0000, 3.1328], [3.1328, 3.1328, 0.0000]],
  "species": ["Be", "Cr", "Cr", "Pb"],
  "frac_coords": [[0.0000, 0.0000, 0.0000], [0.2500, 0.2500, 0.2500], [0.7500, 0.7500, 0.7500], [0.5000, 0.5000, 0.5000]],
  "m_tot_mub_per_cell": 5.7,
  "dos_at_fermi_per_ev_atom": 0.41,
  "space_group": "No. 225",
  "crystal_system": "cubic"
}

Version 2
{
  "formula": "BeCr2Pb",
  "functional": "PBE",
  "state": "optimized geometry",
  "lattice": [[1.4867, 0.8583, 8.4137], [-1.4867, 0.8583, 8.4137], [0.0000, -1.7166, 8.4137]],
  "species": ["Be", "Cr", "Cr", "Pb"],
  "frac_coords": [[0.0000, 0.0000, 0.0000], [0.2613, 0.2613, 0.2613], [0.5355, 0.5355, 0.5355], [0.7649, 0.7649, 0.7649]],
  "m_tot_mub_per_cell": 0.0,
  "dos_at_fermi_per_ev_atom": 0.77,
  "space_group": "No. 160",
  "crystal_system": "trigonal"
}

Of them, the most stable is version 1 and the least stable is version 2.